## Zr2Al2S7 (GGA-PBE)

Data for a relaxed structure of Zr2Al2S7.

Calculated values
As for the uncorrected formation energy: -1.13 eV/atom. Its energy is -65.89 eV for the cell shown.

POSCAR file:
```
Zr2Al2S7
1.0
6.251 -0.247 -0.283
-0.716 6.616 -0.422
-0.716 -1.298 6.501
S Al Zr
7 2 2
Direct
0.500 0.000 0.000
0.739 0.418 0.418
0.789 0.565 0.930
0.211 0.070 0.435
0.261 0.582 0.582
0.211 0.435 0.070
0.789 0.930 0.565
0.398 0.232 0.232
0.602 0.768 0.768
0.000 0.312 0.688
0.000 0.688 0.312
```